The following is a PBE calculation of crystalline Na2PdW at its relaxed geometry, from Alexandria.

abc: 4.8729 4.8729 4.8729
angles: 60.00 60.00 60.00
Site moments in Bohr magnetons follow the coordinates.
Fractional positions:
1 Pd 0.0000 0.0000 0.0000  0.12
2 Na 0.7500 0.7500 0.7500  0.02
3 Na 0.2500 0.2500 0.2500  0.02
4 W 0.5000 0.5000 0.5000  3.00

Computed properties:
Energy relative to the elements: 1.33 eV/atom
M_tot: 4.3 μB per cell
Space group: Fm-3m, No. 225
Total DFT energy (no corrections): -3.867 eV/atom